Record 1
The following is a GGA-PBE calculation of crystalline Rb2BiOF3 at its relaxed geometry, from Alexandria via LeMat-Bulk.

Properties
For the uncorrected formation energy, the calculation gives -2.237 eV/atom. As for the electronic total energy: -4.5785 eV/atom. The value obtained for the total magnetization is 0.00 μB/cell.

extended XYZ file:
```
7
Lattice="-2.267 2.368 7.203 2.267 -2.368 7.203 2.267 2.368 -7.203" Properties=species:S:1:pos:R:3 pbc="T T T"
Rb 0.000 0.000 2.090
Rb 0.000 0.000 12.317
Bi 0.000 0.000 7.203
O 0.000 2.368 0.000
F 2.267 0.000 0.000
F 0.000 0.000 4.851
F 0.000 0.000 9.556
```



Record 2
The following is a GGA-PBE calculation of crystalline K2HgAu2 at its relaxed geometry, from Alexandria via LeMat-Bulk.

Properties
As for the energy of formation: -0.34 eV/f.u. As for the electronic total energy: -1.8793 eV/atom. The value obtained for the total magnetization is 0.00 μB/cell. The energy above the most stable polymorph in this dataset is 225 meV per atom.

extended XYZ file:
```
5
Lattice="-3.117 3.117 5.709 3.117 -3.117 5.709 3.117 3.117 -5.709" Properties=species:S:1:pos:R:3 pbc="T T T"
K 0.000 0.000 2.041
K 0.000 0.000 9.377
Hg 0.000 0.000 5.709
Au 3.117 0.000 2.854
Au 0.000 3.117 2.854
```



Record 3
The following is a GGA-PBE calculation of crystalline BaPrSiN3 at its relaxed geometry, from Alexandria via LeMat-Bulk.

Properties
For the uncorrected formation energy, the calculation gives -0.739 eV/atom. As for the electronic total energy: -6.9224 eV/atom. The value obtained for the total magnetization is 0.00 μB/cell.

extended XYZ file:
```
12
Lattice="6.528 -1.961 0.000 6.528 1.961 0.000 -2.306 0.000 7.558" Properties=species:S:1:pos:R:3 pbc="T T T"
Ba 1.717 0.000 0.540
Ba 9.033 0.000 7.018
Pr 0.635 0.000 4.343
Pr 10.114 0.000 3.215
Si 4.825 0.000 5.448
Si 5.924 0.000 2.109
N -0.624 0.000 2.199
N 3.097 0.000 4.949
N 4.227 0.000 1.563
N 6.522 0.000 5.994
N 7.652 0.000 2.609
N 11.374 0.000 5.359
```